Run w
! KTa3Sn PBE-GGA relaxed; values from VASP
&SYSTEM
  ibrav = 0, nat = 5, ntyp = 3
/
ATOMIC_SPECIES
K 39.10 K.upf
Ta 180.95 Ta.upf
Sn 118.71 Sn.upf
CELL_PARAMETERS angstrom
4.7034 0.0000 0.0000
0.0000 4.7034 0.0000
0.0000 0.0000 4.7034
ATOMIC_POSITIONS angstrom
K 0.0000 0.0000 0.0000
Ta 0.0000 0.0000 2.3517
Ta 0.0000 2.3517 0.0000
Ta 2.3517 0.0000 0.0000
Sn 2.3517 2.3517 2.3517
! Size of the total moment, μB/atom: 0.00
! Crystal system: cubic
! Space-group type: Pm-3m

***

Run x
! KTa3Sn PBE-GGA relaxed; values from VASP
&SYSTEM
  ibrav = 0, nat = 5, ntyp = 3
/
ATOMIC_SPECIES
K 39.10 K.upf
Ta 180.95 Ta.upf
Sn 118.71 Sn.upf
CELL_PARAMETERS angstrom
5.2108 0.0000 0.0000
0.0000 5.2108 0.0000
0.0000 0.0000 5.2108
ATOMIC_POSITIONS angstrom
K 0.0000 0.0000 0.0000
Ta 0.0000 2.6054 2.6054
Ta 2.6054 0.0000 2.6054
Ta 2.6054 2.6054 0.0000
Sn 2.6054 2.6054 2.6054
! Size of the total moment, μB/atom: 0.00
! Crystal system: cubic
! Space-group type: Pm-3m

***

Most stable structure, least stable structure: run x, run w.

***

Run w
! KTc3Sn PBE-GGA relaxed; values from VASP
&SYSTEM
  ibrav = 0, nat = 5, ntyp = 3
/
ATOMIC_SPECIES
K 39.10 K.upf
Tc 98.00 Tc.upf
Sn 118.71 Sn.upf
CELL_PARAMETERS angstrom
4.6289 0.0000 0.0000
0.0000 4.6289 0.0000
0.0000 0.0000 4.6289
ATOMIC_POSITIONS angstrom
K 0.0000 0.0000 0.0000
Tc 0.0000 0.0000 2.3144
Tc 0.0000 2.3144 0.0000
Tc 2.3144 0.0000 0.0000
Sn 2.3144 2.3144 2.3144
! Size of the total moment, μB/atom: 0.75
! Crystal system: cubic
! Space-group type: Pm-3m

***

Run x
! KTc3Sn PBE-GGA relaxed; values from VASP
&SYSTEM
  ibrav = 0, nat = 5, ntyp = 3
/
ATOMIC_SPECIES
K 39.10 K.upf
Tc 98.00 Tc.upf
Sn 118.71 Sn.upf
CELL_PARAMETERS angstrom
5.1527 0.0000 0.0000
0.0000 5.1527 0.0000
0.0000 0.0000 5.1527
ATOMIC_POSITIONS angstrom
K 0.0000 0.0000 0.0000
Tc 0.0000 2.5764 2.5764
Tc 2.5764 0.0000 2.5764
Tc 2.5764 2.5764 0.0000
Sn 2.5764 2.5764 2.5764
! Size of the total moment, μB/atom: 1.55
! Crystal system: cubic
! Space-group type: Pm-3m

***

Most stable structure, least stable structure: run x, run w.

***

Run w
! K3Sn2Te4 PBE-GGA relaxed; values from VASP
&SYSTEM
  ibrav = 0, nat = 18, ntyp = 3
/
ATOMIC_SPECIES
K 39.10 K.upf
Sn 118.71 Sn.upf
Te 127.60 Te.upf
CELL_PARAMETERS angstrom
6.8066 -6.1386 0.0000
6.8066 6.1386 0.0000
-1.1318 0.0000 9.2984
ATOMIC_POSITIONS angstrom
K 5.9578 4.5722 6.9738
K 4.4053 1.4698 3.3008
K 3.8395 -1.4698 7.9500
K 8.6420 1.4698 1.3483
K 8.0761 -1.4698 5.9975
K 6.5237 -4.5722 2.3246
Sn 1.4852 1.5331 8.4460
Sn 2.0511 -1.5331 3.7968
Sn 10.4303 1.5331 5.5016
Sn 10.9962 -1.5331 0.8524
Te 1.5232 0.7699 5.5309
Te 2.0891 -0.7699 0.8817
Te 4.3011 2.0772 9.0696
Te 7.6144 2.0772 4.8780
Te 4.8670 -2.0772 4.4204
Te 8.1803 -2.0772 0.2288
Te 10.3923 0.7699 8.4166
Te 10.9582 -0.7699 3.7675
! Size of the total moment, μB/atom: 0.00
! Crystal system: monoclinic
! Space-group type: C2/c

***

Run x
! K3Sn2Te4 PBE-GGA relaxed; values from VASP
&SYSTEM
  ibrav = 0, nat = 18, ntyp = 3
/
ATOMIC_SPECIES
K 39.10 K.upf
Sn 118.71 Sn.upf
Te 127.60 Te.upf
CELL_PARAMETERS angstrom
8.7380 -4.8241 0.0000
8.7380 4.8241 0.0000
-0.4715 0.0000 9.2913
ATOMIC_POSITIONS angstrom
K 8.6202 4.8231 2.3228
K 8.3844 -4.8231 6.9685
K 6.2605 0.8574 6.0186
K 6.4962 -0.8574 1.3730
K 10.5084 0.8574 7.9183
K 10.7441 -0.8574 3.2727
Sn 3.2842 1.4351 0.2538
Sn 3.0485 -1.4351 4.8994
Sn 13.9562 1.4351 4.3919
Sn 13.7204 -1.4351 9.0375
Te 3.6716 0.7256 3.0979
Te 7.9150 2.1715 0.0320
Te 3.4358 -0.7256 7.7435
Te 9.3254 2.1715 4.6137
Te 7.6793 -2.1715 4.6776
Te 13.5688 0.7256 1.5478
Te 9.0896 -2.1715 9.2593
Te 13.3330 -0.7256 6.1934
! Size of the total moment, μB/atom: 0.00
! Crystal system: monoclinic
! Space-group type: C2/c

***

Most stable structure, least stable structure: run x, run w.

***

Run w
! K3SnTe3 PBE-GGA relaxed; values from VASP
&SYSTEM
  ibrav = 0, nat = 14, ntyp = 3
/
ATOMIC_SPECIES
K 39.10 K.upf
Sn 118.71 Sn.upf
Te 127.60 Te.upf
CELL_PARAMETERS angstrom
4.8712 -7.5060 0.0000
4.8712 7.5060 0.0000
-1.5174 0.0000 8.5085
ATOMIC_POSITIONS angstrom
K 4.8712 4.8903 0.0000
K 4.1125 3.9498 4.2542
K 3.6470 0.0000 1.1679
K 4.5781 0.0000 7.3406
K 4.1125 -3.9498 4.2542
K 4.8712 -4.8903 0.0000
Sn 0.7775 0.0000 5.4041
Sn 7.4476 0.0000 3.1043
Te 0.5252 0.0000 2.3450
Te 1.8751 2.3051 6.6477
Te 1.8751 -2.3051 6.6477
Te 6.3500 2.3051 1.8608
Te 6.3500 -2.3051 1.8608
Te 7.6998 0.0000 6.1635
! Size of the total moment, μB/atom: 0.00
! Crystal system: monoclinic
! Space-group type: C2/m

***

Run x
! K3SnTe3 PBE-GGA relaxed; values from VASP
&SYSTEM
  ibrav = 0, nat = 28, ntyp = 3
/
ATOMIC_SPECIES
K 39.10 K.upf
Sn 118.71 Sn.upf
Te 127.60 Te.upf
CELL_PARAMETERS angstrom
9.7149 0.0000 0.0000
0.0000 13.8603 0.0000
-4.4121 0.0000 8.6936
ATOMIC_POSITIONS angstrom
K -0.0453 2.1746 0.0906
K -2.2514 4.7555 4.4373
K 7.5541 9.1048 4.2562
K 5.3481 11.6857 8.6030
K 1.2783 7.8039 1.7501
K -0.9277 12.9866 6.0969
K 0.9387 3.0696 6.8052
K 3.1447 3.8605 2.4584
K 2.1581 9.9998 6.2351
K 4.3641 10.7907 1.8884
K 6.2305 0.8737 2.5967
K 4.0245 6.0564 6.9435
Sn -0.4993 7.0552 7.6036
Sn 1.7068 13.7353 3.2568
Sn 3.5960 0.1250 5.4368
Sn 5.8021 6.8052 1.0900
Te -0.2239 1.8398 3.6539
Te -2.4300 5.0903 8.0006
Te -1.5301 9.6353 7.6551
Te 0.6760 11.1552 3.3083
Te 3.0413 0.3329 0.8677
Te 0.8352 6.5973 5.2145
Te 4.4675 7.2630 3.4791
Te 2.2615 13.5275 7.8259
Te 4.6268 2.7051 5.3853
Te 6.8329 4.2251 1.0385
Te 7.7328 8.7700 0.6929
Te 5.5267 12.0205 5.0397
! Size of the total moment, μB/atom: 0.00
! Crystal system: monoclinic
! Space-group type: P2_1/c

***

Most stable structure, least stable structure: run x, run w.

***

Run w
! K2SnTe2 PBE-GGA relaxed; values from VASP
&SYSTEM
  ibrav = 0, nat = 10, ntyp = 3
/
ATOMIC_SPECIES
K 39.10 K.upf
Sn 118.71 Sn.upf
Te 127.60 Te.upf
CELL_PARAMETERS angstrom
-4.1340 7.0581 3.7508
4.1340 -7.0581 3.7508
4.1340 7.0581 -3.7508
ATOMIC_POSITIONS angstrom
K 1.3081 1.9833 0.0000
K 1.3081 -1.9833 3.7508
K 2.8259 9.0414 0.0000
K 2.8259 5.0748 3.7508
Sn 4.1340 0.0000 1.8754
Sn 0.0000 7.0581 1.8754
Te 6.0320 1.6076 0.0000
Te 1.8980 5.4505 0.0000
Te 2.2361 1.6076 3.7508
Te -1.8980 5.4505 3.7508
! Size of the total moment, μB/atom: 0.00
! Crystal system: orthorhombic
! Space-group type: Ibam

***

Run x
! K2SnTe2 PBE-GGA relaxed; values from VASP
&SYSTEM
  ibrav = 0, nat = 10, ntyp = 3
/
ATOMIC_SPECIES
K 39.10 K.upf
Sn 118.71 Sn.upf
Te 127.60 Te.upf
CELL_PARAMETERS angstrom
2.3133 -11.6029 0.0000
2.3133 11.6029 0.0000
0.0000 0.0000 7.4973
ATOMIC_POSITIONS angstrom
K 2.3133 10.9355 3.7486
K 2.3133 7.1367 5.6630
K 2.3133 -7.1367 1.9143
K 2.3133 -10.9355 0.0000
Sn 2.3133 2.4397 5.1824
Sn 2.3133 -2.4397 1.4338
Te 2.3133 7.2949 1.8070
Te 2.3133 1.8142 2.3916
Te 2.3133 -1.8142 6.1402
Te 2.3133 -7.2949 5.5557
! Size of the total moment, μB/atom: 0.00
! Crystal system: orthorhombic
! Space-group type: Cmc2_1

***

Run y
! K2SnTe2 PBE-GGA relaxed; values from VASP
&SYSTEM
  ibrav = 0, nat = 10, ntyp = 3
/
ATOMIC_SPECIES
K 39.10 K.upf
Sn 118.71 Sn.upf
Te 127.60 Te.upf
CELL_PARAMETERS angstrom
8.6459 0.0000 0.0000
0.0000 8.6459 0.0000
0.0000 0.0000 4.9794
ATOMIC_POSITIONS angstrom
K 1.1821 3.1409 0.0000
K 3.1409 7.4638 0.0000
K 5.5050 1.1821 0.0000
K 7.4638 5.5050 0.0000
Sn 0.0000 0.0000 2.4897
Sn 4.3230 4.3230 2.4897
Te 1.5078 5.8308 2.4897
Te 2.8151 1.5078 2.4897
Te 5.8308 7.1381 2.4897
Te 7.1381 2.8151 2.4897
! Size of the total moment, μB/atom: 0.00
! Crystal system: tetragonal
! Space-group type: P4/mbm

***

Most stable structure, least stable structure: run x, run y.

***

Run w
! K2SnTe4 PBE-GGA relaxed; values from VASP
&SYSTEM
  ibrav = 0, nat = 14, ntyp = 3
/
ATOMIC_SPECIES
K 39.10 K.upf
Sn 118.71 Sn.upf
Te 127.60 Te.upf
CELL_PARAMETERS angstrom
5.9064 0.0000 0.0000
0.0000 5.9064 0.0000
0.0000 0.0000 17.3973
ATOMIC_POSITIONS angstrom
K 0.0000 0.0000 2.2912
K 0.0000 0.0000 15.1061
K 2.9532 2.9532 6.4074
K 2.9532 2.9532 10.9899
Sn 0.0000 0.0000 8.6987
Sn 2.9532 2.9532 0.0000
Te 0.0000 0.0000 5.9227
Te 0.0000 0.0000 11.4746
Te 0.0000 2.9532 0.0000
Te 0.0000 2.9532 8.6987
Te 2.9532 0.0000 0.0000
Te 2.9532 0.0000 8.6987
Te 2.9532 2.9532 2.7760
Te 2.9532 2.9532 14.6213
! Size of the total moment, μB/atom: 0.00
! Crystal system: tetragonal
! Space-group type: I4/mmm

***

Run x
! K2SnTe4 PBE-GGA relaxed; values from VASP
&SYSTEM
  ibrav = 0, nat = 7, ntyp = 3
/
ATOMIC_SPECIES
K 39.10 K.upf
Sn 118.71 Sn.upf
Te 127.60 Te.upf
CELL_PARAMETERS angstrom
0.0000 5.0393 5.5259
4.7791 0.0000 5.5259
4.7791 5.0393 0.0000
ATOMIC_POSITIONS angstrom
K 2.3896 2.5196 0.0000
K 2.3896 2.5196 5.5259
Sn 4.7791 5.0393 1.2571
Te 4.7791 2.6133 8.3271
Te 7.0436 5.0393 8.3727
Te 4.7791 7.4652 8.3271
Te 2.5146 5.0393 8.3727
! Size of the total moment, μB/atom: 0.00
! Crystal system: orthorhombic
! Space-group type: Fmm2

***

Most stable structure, least stable structure: run x, run w.

***

Run w
! KTi2Sn2 PBE-GGA relaxed; values from VASP
&SYSTEM
  ibrav = 0, nat = 10, ntyp = 3
/
ATOMIC_SPECIES
K 39.10 K.upf
Ti 47.87 Ti.upf
Sn 118.71 Sn.upf
CELL_PARAMETERS angstrom
8.7251 0.0000 0.0000
0.0000 8.7251 0.0000
0.0000 0.0000 3.0394
ATOMIC_POSITIONS angstrom
K 0.0000 0.0000 0.0000
K 4.3625 4.3625 0.0000
Ti 1.0007 3.3619 0.0000
Ti 3.3619 7.7244 0.0000
Ti 5.3632 1.0007 0.0000
Ti 7.7244 5.3632 0.0000
Sn 1.5033 5.8659 1.5197
Sn 2.8592 1.5033 1.5197
Sn 5.8659 7.2217 1.5197
Sn 7.2217 2.8592 1.5197
! Size of the total moment, μB/atom: 0.20
! Crystal system: tetragonal
! Space-group type: P4/mbm

***

Run x
! KTi2Sn2 PBE-GGA relaxed; values from VASP
&SYSTEM
  ibrav = 0, nat = 10, ntyp = 3
/
ATOMIC_SPECIES
K 39.10 K.upf
Ti 47.87 Ti.upf
Sn 118.71 Sn.upf
CELL_PARAMETERS angstrom
4.5923 0.0000 0.0000
0.0000 4.5923 0.0000
0.0000 0.0000 12.9283
ATOMIC_POSITIONS angstrom
K 0.0000 0.0000 0.0000
K 2.2961 2.2961 6.4641
Ti 0.0000 2.2961 3.2321
Ti 0.0000 2.2961 9.6962
Ti 2.2961 0.0000 3.2321
Ti 2.2961 0.0000 9.6962
Sn 0.0000 0.0000 4.8626
Sn 0.0000 0.0000 8.0656
Sn 2.2961 2.2961 1.6015
Sn 2.2961 2.2961 11.3268
! Size of the total moment, μB/atom: 0.29
! Crystal system: tetragonal
! Space-group type: I4/mmm

***

Most stable structure, least stable structure: run w, run x.

***

Run w
! K3TlSn PBE-GGA relaxed; values from VASP
&SYSTEM
  ibrav = 0, nat = 20, ntyp = 3
/
ATOMIC_SPECIES
K 39.10 K.upf
Tl 204.38 Tl.upf
Sn 118.71 Sn.upf
CELL_PARAMETERS angstrom
8.8728 0.0000 0.0000
0.0000 7.5340 0.0000
-0.5953 0.0000 13.8620
ATOMIC_POSITIONS angstrom
K 0.1998 1.3815 1.6160
K -0.0979 6.1525 8.5470
K 1.7028 2.8477 11.6642
K 2.0005 4.6862 4.7332
K 2.9230 1.3126 7.8478
K 3.2206 6.2214 0.9168
K 5.0569 1.3126 12.9452
K 5.3545 6.2214 6.0142
K 6.2770 2.8477 9.1288
K 6.5746 4.6862 2.1978
K 8.3753 1.3815 5.3149
K 8.0777 6.1525 12.2459
Tl 3.5205 2.7121 1.8303
Tl 3.2228 4.8219 8.7613
Tl 5.0547 2.7121 5.1007
Tl 4.7570 4.8219 12.0317
Sn 2.8936 0.6916 4.1327
Sn 2.5960 6.8424 11.0637
Sn 5.6815 0.6916 2.7983
Sn 5.3838 6.8424 9.7293
! Size of the total moment, μB/atom: 0.00
! Crystal system: monoclinic
! Space-group type: P2/c

***

Run x
! K3TlSn PBE-GGA relaxed; values from VASP
&SYSTEM
  ibrav = 0, nat = 5, ntyp = 3
/
ATOMIC_SPECIES
K 39.10 K.upf
Tl 204.38 Tl.upf
Sn 118.71 Sn.upf
CELL_PARAMETERS angstrom
6.7449 0.0000 0.0000
0.0000 6.7449 0.0000
0.0000 0.0000 6.7449
ATOMIC_POSITIONS angstrom
K 0.0000 0.0000 3.3724
K 0.0000 3.3724 0.0000
K 3.3724 0.0000 0.0000
Tl 3.3724 3.3724 3.3724
Sn 0.0000 0.0000 0.0000
! Size of the total moment, μB/atom: 0.02
! Crystal system: cubic
! Space-group type: Pm-3m

***

Most stable structure, least stable structure: run w, run x.

***

Run w
! KTl4Sn PBE-GGA relaxed; values from VASP
&SYSTEM
  ibrav = 0, nat = 12, ntyp = 3
/
ATOMIC_SPECIES
K 39.10 K.upf
Tl 204.38 Tl.upf
Sn 118.71 Sn.upf
CELL_PARAMETERS angstrom
9.5567 0.0000 0.0000
0.0000 4.8032 0.0000
0.0000 0.0000 8.8673
ATOMIC_POSITIONS angstrom
K 2.3892 0.0000 1.1909
K 7.1675 0.0000 7.6764
Tl 0.0000 0.0000 4.4336
Tl 0.4382 2.4016 7.2028
Tl 2.3892 2.4016 4.0132
Tl 4.3401 2.4016 7.2028
Tl 4.7784 0.0000 4.4336
Tl 5.2166 2.4016 1.6645
Tl 7.1675 2.4016 4.8540
Tl 9.1185 2.4016 1.6645
Sn 2.3892 0.0000 6.5197
Sn 7.1675 0.0000 2.3476
! Size of the total moment, μB/atom: 0.00
! Crystal system: orthorhombic
! Space-group type: Pmma

***

Run x
! KTl4Sn PBE-GGA relaxed; values from VASP
&SYSTEM
  ibrav = 0, nat = 6, ntyp = 3
/
ATOMIC_SPECIES
K 39.10 K.upf
Tl 204.38 Tl.upf
Sn 118.71 Sn.upf
CELL_PARAMETERS angstrom
0.0000 4.6446 4.6446
4.6446 0.0000 4.6446
4.6446 4.6446 0.0000
ATOMIC_POSITIONS angstrom
K 0.0000 0.0000 0.0000
Tl 5.8004 3.4887 3.4887
Tl 3.4887 5.8004 3.4887
Tl 3.4887 3.4887 5.8004
Tl 5.8004 5.8004 5.8004
Sn 2.3223 2.3223 2.3223
! Size of the total moment, μB/atom: 0.00
! Crystal system: cubic
! Space-group type: F-43m

***

Most stable structure, least stable structure: run w, run x.

***

Run w
! KTlSn2 PBE-GGA relaxed; values from VASP
&SYSTEM
  ibrav = 0, nat = 4, ntyp = 3
/
ATOMIC_SPECIES
K 39.10 K.upf
Tl 204.38 Tl.upf
Sn 118.71 Sn.upf
CELL_PARAMETERS angstrom
4.0895 0.0000 0.0000
0.0000 4.0895 0.0000
0.0000 0.0000 7.8356
ATOMIC_POSITIONS angstrom
K 0.0000 0.0000 0.0000
Tl 0.0000 0.0000 3.9178
Sn 2.0448 2.0448 2.4168
Sn 2.0448 2.0448 5.4188
! Size of the total moment, μB/atom: 0.00
! Crystal system: tetragonal
! Space-group type: P4/mmm

***

Run x
! KTlSn2 PBE-GGA relaxed; values from VASP
&SYSTEM
  ibrav = 0, nat = 12, ntyp = 3
/
ATOMIC_SPECIES
K 39.10 K.upf
Tl 204.38 Tl.upf
Sn 118.71 Sn.upf
CELL_PARAMETERS angstrom
5.3564 0.0000 0.0000
-2.6782 4.6388 0.0000
0.0000 0.0000 18.4192
ATOMIC_POSITIONS angstrom
K 0.0000 0.0000 0.0000
K 0.0000 3.0925 12.2795
K 2.6782 1.5463 6.1397
Tl 0.0000 0.0000 9.2096
Tl 0.0000 3.0925 3.0699
Tl 2.6782 1.5463 15.3493
Sn 0.0000 0.0000 3.7273
Sn 0.0000 0.0000 14.6919
Sn 0.0000 3.0925 8.5522
Sn 0.0000 3.0925 16.0068
Sn 2.6782 1.5463 2.4124
Sn 2.6782 1.5463 9.8670
! Size of the total moment, μB/atom: 0.00
! Crystal system: trigonal
! Space-group type: R-3m

***

Most stable structure, least stable structure: run w, run x.